Entry 1:
First-principles (meta-GGA SCAN) data for a crystal of YMgW2 relaxed with PBEsol, as listed in the Alexandria database.

## Properties
Symmetry   Cmm2 (35)
VASP energy   -170.44 eV per cell
Crystal system   orthorhombic
D(E_F)   3.647 states/eV per cell
Calculated formation energy   0.438 eV per atom
V   19.2 Å³ per atom

Cell lengths 2.8883, 2.8883, 9.8560 Å; angles 90.00, 90.00, 111.28 degrees
Positions (direct):
Y  0.0000  0.0000  0.5213
W  0.5000  0.5000  0.7762
W  0.0000  0.0000  0.9805
Mg  0.5000  0.5000  0.2219

Entry 2:
First-principles (meta-GGA SCAN) data for a crystal of YMgW relaxed with PBEsol, as listed in the Alexandria database.

## Properties
Symmetry   P3m1 (156)
VASP energy   -100.50 eV per cell
Crystal system   trigonal
D(E_F)   2.049 states/eV per cell
Calculated formation energy   0.669 eV per atom
V   20.3 Å³ per atom

Cell lengths 2.9661, 2.9661, 8.0090 Å; angles 90.00, 90.00, 120.00 degrees
Last column: magnetic moment on the atom in μB.
Positions (direct):
W  0.3333  0.6667  0.6774  0.13
Y  0.6667  0.3333  0.3483  0.55
Mg  0.0000  0.0000  0.9742  0.01

Entry 3:
First-principles (meta-GGA SCAN) data for a crystal of MgZnW2 relaxed with PBEsol, as listed in the Alexandria database.

## Properties
Symmetry   Cmm2 (35)
VASP energy   -157.02 eV per cell
Crystal system   orthorhombic
D(E_F)   1.524 states/eV per cell
E above lowest polymorph   0.0 meV per atom
Calculated formation energy   0.211 eV per atom
V   15.9 Å³ per atom

Cell lengths 2.7269, 2.7269, 9.0173 Å; angles 90.00, 90.00, 108.31 degrees
Positions (direct):
Zn  0.0000  0.0000  0.5075
Mg  0.5000  0.5000  0.2530
W  0.5000  0.5000  0.7483
W  0.0000  0.0000  0.9912

Entry 4:
First-principles (meta-GGA SCAN) data for a crystal of MgZnW2 relaxed with PBEsol, as listed in the Alexandria database.

## Properties
Symmetry   Pmm2 (25)
VASP energy   -156.26 eV per cell
Crystal system   orthorhombic
D(E_F)   1.949 states/eV per cell
E above lowest polymorph   189.9 meV per atom
Calculated formation energy   0.401 eV per atom
V   15.9 Å³ per atom

Cell lengths 2.6591, 4.2251, 5.6786 Å; angles 90.00, 90.00, 90.00 degrees
Positions (direct):
Zn  0.0000  0.0000  0.5079
Mg  0.5000  0.5000  0.7362
W  0.5000  0.5000  0.2366
W  0.0000  0.0000  0.0192

Entry 5:
First-principles (meta-GGA SCAN) data for a crystal of MgZnW2 relaxed with PBEsol, as listed in the Alexandria database.

## Properties
Symmetry   Pmmm (47)
VASP energy   -156.23 eV per cell
Crystal system   orthorhombic
D(E_F)   1.822 states/eV per cell
E above lowest polymorph   198.6 meV per atom
Calculated formation energy   0.410 eV per atom
V   15.6 Å³ per atom

Cell lengths 2.6695, 4.3943, 5.3271 Å; angles 90.00, 90.00, 90.00 degrees
Positions (direct):
Mg  0.5000  0.5000  0.5000
Zn  0.5000  0.5000  0.0000
W  0.0000  0.0000  0.2525
W  0.0000  0.0000  0.7475

Entry 6:
First-principles (meta-GGA SCAN) data for a crystal of MgZnW2 relaxed with PBEsol, as listed in the Alexandria database.

## Properties
Symmetry   P2/m (10)
VASP energy   -156.41 eV per cell
Crystal system   monoclinic
D(E_F)   1.897 states/eV per cell
E above lowest polymorph   153.3 meV per atom
Calculated formation energy   0.364 eV per atom
V   15.6 Å³ per atom

Cell lengths 2.6782, 4.5425, 5.2782 Å; angles 90.00, 103.50, 90.00 degrees
Positions (direct):
W  0.2741  0.0000  0.2499
W  0.7259  0.0000  0.7501
Mg  0.0000  0.5000  0.5000
Zn  0.5000  0.5000  0.0000

Entry 7:
First-principles (meta-GGA SCAN) data for a crystal of MgZr2W relaxed with PBEsol, as listed in the Alexandria database.

## Properties
Symmetry   P4/mmm (123)
VASP energy   -135.85 eV per cell
Crystal system   tetragonal
D(E_F)   3.519 states/eV per cell
Calculated formation energy   0.053 eV per atom
V   20.0 Å³ per atom

Cell lengths 3.4005, 3.4005, 6.9224 Å; angles 90.00, 90.00, 90.00 degrees
Positions (direct):
Zr  0.0000  0.0000  0.2783
Zr  0.0000  0.0000  0.7217
W  0.5000  0.5000  0.5000
Mg  0.5000  0.5000  0.0000

Entry 8:
First-principles (meta-GGA SCAN) data for a crystal of MgZr2W relaxed with PBEsol, as listed in the Alexandria database.

## Properties
Symmetry   C2/m (12)
VASP energy   -134.89 eV per cell
Crystal system   monoclinic
D(E_F)   3.946 states/eV per cell
Calculated formation energy   0.292 eV per atom
V   19.3 Å³ per atom

Cell lengths 2.7659, 5.6056, 5.6056 Å; angles 113.82, 97.72, 97.72 degrees
Positions (direct):
W  0.5000  0.0000  0.0000
Zr  0.0000  0.5000  0.0000
Zr  0.0000  0.0000  0.5000
Mg  0.5000  0.5000  0.5000

Question: The lowest D(E_F) belongs to which entry?
Answer: number 3

Question: Among the records above, which one has the lowest D(E_F)?
Answer: number 3